Computed, not measured: a relaxed structure of ErSnHg at the GGA-PBE level of DFT.

Its symmetry is F-43m (216). For the total magnetic moment, the calculation gives 0.00 μB per atom. The energy of formation comes out at -0.90 eV/f.u.

Lattice parameters (Å, degrees): 4.885 4.885 4.885 60.00 60.00 60.00
Sites, in units of the cell vectors:
Er1 0.000 0.000 0.000
Sn1 0.500 0.500 0.500
Hg1 0.750 0.750 0.750

---

Computed, not measured: a relaxed structure of Er2SnHg2 at the GGA-PBE level of DFT.

Its symmetry is C2/m (12). For the total magnetic moment, the calculation gives 0.00 μB per atom. The energy of formation comes out at -2.16 eV/f.u.

Lattice parameters (Å, degrees): 6.110 6.110 11.017 112.61 112.61 43.34
Sites, in units of the cell vectors:
Er1 0.001 0.001 0.323
Er2 0.177 0.177 0.095
Er3 0.823 0.823 0.905
Er4 0.999 0.999 0.677
Sn1 0.287 0.287 0.692
Sn2 0.713 0.713 0.308
Hg1 0.361 0.361 0.457
Hg2 0.447 0.447 0.107
Hg3 0.553 0.553 0.893
Hg4 0.639 0.639 0.543

---

Computed, not measured: a relaxed structure of Er5SnHg4 at the GGA-PBE level of DFT.

Its symmetry is P4/mmm (123). For the total magnetic moment, the calculation gives 0.00 μB per atom. The energy of formation comes out at -5.00 eV/f.u.

Lattice parameters (Å, degrees): 3.699 3.699 18.515 90.00 90.00 90.00
Sites, in units of the cell vectors:
Er1 0.000 0.000 0.000
Er2 0.000 0.000 0.198
Er3 0.000 0.000 0.396
Er4 0.000 0.000 0.604
Er5 0.000 0.000 0.802
Sn1 0.500 0.500 0.500
Hg1 0.500 0.500 0.100
Hg2 0.500 0.500 0.295
Hg3 0.500 0.500 0.705
Hg4 0.500 0.500 0.900

---

Computed, not measured: a relaxed structure of ErSnHg at the GGA-PBE level of DFT.

Its symmetry is Cmcm (63). For the total magnetic moment, the calculation gives 0.00 μB per atom. The energy of formation comes out at -1.39 eV/f.u.

Lattice parameters (Å, degrees): 8.126 8.126 4.230 90.00 90.00 147.00
Sites, in units of the cell vectors:
Er1 0.096 0.904 0.750
Er2 0.904 0.096 0.250
Sn1 0.428 0.572 0.750
Sn2 0.572 0.428 0.250
Hg1 0.261 0.739 0.250
Hg2 0.739 0.261 0.750

---

Computed, not measured: a relaxed structure of ErSnHg2 at the GGA-PBE level of DFT.

Its symmetry is R3m (160). For the total magnetic moment, the calculation gives 0.00 μB per atom. The energy of formation comes out at -0.90 eV/f.u.

Lattice parameters (Å, degrees): 6.477 6.477 6.477 42.09 42.09 42.09
Sites, in units of the cell vectors:
Er1 0.000 0.000 0.000
Sn1 0.188 0.188 0.188
Hg1 0.420 0.420 0.420
Hg2 0.594 0.594 0.594

---

Computed, not measured: a relaxed structure of Er2Sn3Hg3 at the GGA-PBE level of DFT.

Its symmetry is Pmmm (47). For the total magnetic moment, the calculation gives 0.00 μB per atom. The energy of formation comes out at -3.19 eV/f.u.

Lattice parameters (Å, degrees): 4.607 4.714 9.037 90.00 90.00 90.00
Sites, in units of the cell vectors:
Er1 0.000 0.000 0.247
Er2 0.000 0.000 0.753
Sn1 0.000 0.500 0.000
Sn2 0.500 0.000 0.000
Sn3 0.500 0.000 0.500
Hg1 0.000 0.500 0.500
Hg2 0.500 0.500 0.256
Hg3 0.500 0.500 0.744

---

Computed, not measured: a relaxed structure of Er4Sn3Hg at the GGA-PBE level of DFT.

Its symmetry is Pmm2 (25). For the total magnetic moment, the calculation gives 0.00 μB per atom. The energy of formation comes out at -5.00 eV/f.u.

Lattice parameters (Å, degrees): 4.317 4.398 11.348 90.00 90.00 90.00
Sites, in units of the cell vectors:
Er1 0.000 0.000 0.000
Er2 0.000 0.500 0.498
Er3 0.500 0.000 0.270
Er4 0.500 0.500 0.771
Sn1 0.000 0.000 0.728
Sn2 0.000 0.500 0.222
Sn3 0.500 0.000 0.540
Hg1 0.500 0.500 0.041

---

Computed, not measured: a relaxed structure of ErSnHg at the GGA-PBE level of DFT.

Its symmetry is C2/m (12). For the total magnetic moment, the calculation gives 0.00 μB per atom. The energy of formation comes out at -1.21 eV/f.u.

Lattice parameters (Å, degrees): 6.248 6.248 8.105 115.88 115.88 32.84
Sites, in units of the cell vectors:
Er1 0.078 0.078 0.309
Er2 0.922 0.922 0.691
Sn1 0.354 0.354 0.332
Sn2 0.646 0.646 0.668
Hg1 0.362 0.362 0.965
Hg2 0.638 0.638 0.035

---

Computed, not measured: a relaxed structure of Er2Sn4Hg at the GGA-PBE level of DFT.

Its symmetry is P-4m2 (115). For the total magnetic moment, the calculation gives 0.00 μB per atom. The energy of formation comes out at -2.61 eV/f.u.

Lattice parameters (Å, degrees): 4.457 4.457 9.429 90.00 90.00 90.00
Sites, in units of the cell vectors:
Er1 0.000 0.500 0.236
Er2 0.500 0.000 0.764
Sn1 0.000 0.000 0.500
Sn2 0.000 0.500 0.801
Sn3 0.500 0.000 0.199
Sn4 0.500 0.500 0.500
Hg1 0.500 0.500 0.000

---

Computed, not measured: a relaxed structure of Er5SnHg at the GGA-PBE level of DFT.

Its symmetry is C2/c (15). For the total magnetic moment, the calculation gives 0.00 μB per atom. The energy of formation comes out at -1.46 eV/f.u.

Lattice parameters (Å, degrees): 6.181 6.181 10.645 93.05 93.05 91.54
Sites, in units of the cell vectors:
Er1 0.033 0.605 0.161
Er2 0.137 0.863 0.750
Er3 0.243 0.448 0.490
Er4 0.395 0.967 0.339
Er5 0.448 0.243 0.990
Er6 0.552 0.757 0.010
Er7 0.605 0.033 0.661
Er8 0.757 0.552 0.510
Er9 0.863 0.137 0.250
Er10 0.967 0.395 0.839
Sn1 0.488 0.512 0.750
Sn2 0.512 0.488 0.250
Hg1 0.000 0.000 0.000
Hg2 0.000 0.000 0.500

---

Computed, not measured: a relaxed structure of ErSn2Hg at the GGA-PBE level of DFT.

Its symmetry is P4/mmm (123). For the total magnetic moment, the calculation gives 0.00 μB per atom. The energy of formation comes out at -1.61 eV/f.u.

Lattice parameters (Å, degrees): 4.717 4.717 4.461 90.00 90.00 90.00
Sites, in units of the cell vectors:
Er1 0.000 0.000 0.000
Sn1 0.000 0.500 0.500
Sn2 0.500 0.000 0.500
Hg1 0.500 0.500 0.000

---

Computed, not measured: a relaxed structure of ErSnHg2 at the GGA-PBE level of DFT.

Its symmetry is P4/mmm (123). For the total magnetic moment, the calculation gives 0.00 μB per atom. The energy of formation comes out at -1.52 eV/f.u.

Lattice parameters (Å, degrees): 4.476 4.476 4.832 90.00 90.00 90.00
Sites, in units of the cell vectors:
Er1 0.000 0.000 0.000
Sn1 0.500 0.500 0.000
Hg1 0.000 0.500 0.500
Hg2 0.500 0.000 0.500

---

Computed, not measured: a relaxed structure of Er4SnHg at the GGA-PBE level of DFT.

Its symmetry is P2_1/c (14). For the total magnetic moment, the calculation gives 0.00 μB per atom. The energy of formation comes out at -0.86 eV/f.u.

Lattice parameters (Å, degrees): 7.206 7.296 7.285 90.00 90.67 90.00
Sites, in units of the cell vectors:
Er1 0.158 0.168 0.171
Er2 0.158 0.332 0.671
Er3 0.335 0.659 0.156
Er4 0.335 0.841 0.656
Er5 0.665 0.159 0.344
Er6 0.665 0.341 0.844
Er7 0.842 0.668 0.329
Er8 0.842 0.832 0.829
Sn1 0.500 0.000 0.000
Sn2 0.500 0.500 0.500
Hg1 0.000 0.000 0.500
Hg2 0.000 0.500 0.000

---

Computed, not measured: a relaxed structure of ErSnHg at the GGA-PBE level of DFT.

Its symmetry is P3m1 (156). For the total magnetic moment, the calculation gives 0.00 μB per atom. The energy of formation comes out at -1.25 eV/f.u.

Lattice parameters (Å, degrees): 4.891 4.891 3.668 90.00 90.00 120.00
Sites, in units of the cell vectors:
Er1 0.000 0.000 0.000
Sn1 0.333 0.667 0.427
Hg1 0.667 0.333 0.681

---

Computed, not measured: a relaxed structure of Er6SnHg5 at the GGA-PBE level of DFT.

Its symmetry is Immm (71). For the total magnetic moment, the calculation gives 0.00 μB per atom. The energy of formation comes out at -6.05 eV/f.u.

Lattice parameters (Å, degrees): 9.083 9.083 9.083 146.44 132.36 59.53
Sites, in units of the cell vectors:
Er1 0.082 0.333 0.750
Er2 0.249 0.000 0.249
Er3 0.417 0.667 0.750
Er4 0.583 0.333 0.250
Er5 0.751 0.000 0.751
Er6 0.918 0.667 0.250
Sn1 0.500 0.500 0.000
Hg1 0.000 0.500 0.500
Hg2 0.166 0.166 0.000
Hg3 0.329 0.829 0.500
Hg4 0.671 0.171 0.500
Hg5 0.834 0.834 0.000

---

Computed, not measured: a relaxed structure of Er8SnHg2 at the GGA-PBE level of DFT.

Its symmetry is C2/m (12). For the total magnetic moment, the calculation gives 0.00 μB per atom. The energy of formation comes out at -2.14 eV/f.u.

Lattice parameters (Å, degrees): 8.359 8.359 5.443 100.21 100.21 117.10
Sites, in units of the cell vectors:
Er1 0.093 0.325 0.611
Er2 0.225 0.775 0.000
Er3 0.325 0.093 0.611
Er4 0.397 0.397 0.200
Er5 0.603 0.603 0.800
Er6 0.675 0.907 0.389
Er7 0.775 0.225 0.000
Er8 0.907 0.675 0.389
Sn1 0.000 0.000 0.000
Hg1 0.305 0.695 0.500
Hg2 0.695 0.305 0.500

---

Computed, not measured: a relaxed structure of ErSnHg2 at the GGA-PBE level of DFT.

Its symmetry is R-3m (166). For the total magnetic moment, the calculation gives 0.00 μB per atom. The energy of formation comes out at -1.09 eV/f.u.

Lattice parameters (Å, degrees): 5.860 5.860 5.860 48.08 48.08 48.08
Sites, in units of the cell vectors:
Er1 0.000 0.000 0.000
Sn1 0.500 0.500 0.500
Hg1 0.246 0.246 0.246
Hg2 0.754 0.754 0.754

---

Computed, not measured: a relaxed structure of Er2SnHg5 at the GGA-PBE level of DFT.

Its symmetry is Pbam (55). For the total magnetic moment, the calculation gives 0.00 μB per atom. The energy of formation comes out at -2.74 eV/f.u.

Lattice parameters (Å, degrees): 6.571 13.151 4.471 90.00 90.00 90.00
Sites, in units of the cell vectors:
Er1 0.230 0.120 0.000
Er2 0.270 0.620 0.000
Er3 0.730 0.380 0.000
Er4 0.770 0.880 0.000
Sn1 0.000 0.000 0.500
Sn2 0.500 0.500 0.500
Hg1 0.000 0.500 0.500
Hg2 0.025 0.749 0.500
Hg3 0.232 0.370 0.000
Hg4 0.268 0.870 0.000
Hg5 0.475 0.249 0.500
Hg6 0.500 0.000 0.500
Hg7 0.525 0.751 0.500
Hg8 0.732 0.130 0.000
Hg9 0.768 0.630 0.000
Hg10 0.975 0.251 0.500

---

Computed, not measured: a relaxed structure of Er3SnHg at the GGA-PBE level of DFT.

Its symmetry is Pnma (62). For the total magnetic moment, the calculation gives 0.00 μB per atom. The energy of formation comes out at -1.62 eV/f.u.

Lattice parameters (Å, degrees): 6.217 10.045 8.991 90.00 90.00 90.00
Sites, in units of the cell vectors:
Er1 0.089 0.070 0.173
Er2 0.089 0.430 0.173
Er3 0.206 0.750 0.361
Er4 0.294 0.250 0.861
Er5 0.411 0.570 0.673
Er6 0.411 0.930 0.673
Er7 0.589 0.070 0.327
Er8 0.589 0.430 0.327
Er9 0.706 0.750 0.139
Er10 0.794 0.250 0.639
Er11 0.911 0.570 0.827
Er12 0.911 0.930 0.827
Sn1 0.000 0.000 0.500
Sn2 0.000 0.500 0.500
Sn3 0.500 0.000 0.000
Sn4 0.500 0.500 0.000
Hg1 0.183 0.750 0.017
Hg2 0.317 0.250 0.517
Hg3 0.683 0.750 0.483
Hg4 0.817 0.250 0.983

---

Computed, not measured: a relaxed structure of ErSnHg4 at the GGA-PBE level of DFT.

Its symmetry is P4/mmm (123). For the total magnetic moment, the calculation gives 0.00 μB per atom. The energy of formation comes out at -0.78 eV/f.u.

Lattice parameters (Å, degrees): 3.764 3.764 10.601 90.00 90.00 90.00
Sites, in units of the cell vectors:
Er1 0.000 0.000 0.000
Sn1 0.500 0.500 0.500
Hg1 0.000 0.000 0.325
Hg2 0.000 0.000 0.675
Hg3 0.500 0.500 0.163
Hg4 0.500 0.500 0.837

---

Computed, not measured: a relaxed structure of Er2Sn2Hg at the GGA-PBE level of DFT.

Its symmetry is C2/m (12). For the total magnetic moment, the calculation gives 0.00 μB per atom. The energy of formation comes out at -2.55 eV/f.u.

Lattice parameters (Å, degrees): 6.208 6.208 10.839 110.84 110.84 42.28
Sites, in units of the cell vectors:
Er1 0.008 0.008 0.178
Er2 0.178 0.178 0.605
Er3 0.822 0.822 0.395
Er4 0.992 0.992 0.822
Sn1 0.359 0.359 0.939
Sn2 0.444 0.444 0.604
Sn3 0.556 0.556 0.396
Sn4 0.641 0.641 0.061
Hg1 0.301 0.301 0.187
Hg2 0.699 0.699 0.813

---

Computed, not measured: a relaxed structure of Er6SnHg6 at the GGA-PBE level of DFT.

Its symmetry is P6/mmm (191). For the total magnetic moment, the calculation gives 0.11 μB per atom. The energy of formation comes out at -3.61 eV/f.u.

Lattice parameters (Å, degrees): 6.234 6.234 10.290 90.00 90.00 120.00
Sites, in units of the cell vectors:
Er1 0.000 0.000 0.182
Er2 0.000 0.000 0.818
Er3 0.333 0.667 0.000
Er4 0.333 0.667 0.500
Er5 0.667 0.333 0.000
Er6 0.667 0.333 0.500
Sn1 0.000 0.000 0.500
Hg1 0.000 0.500 0.249
Hg2 0.000 0.500 0.751
Hg3 0.500 0.000 0.249
Hg4 0.500 0.000 0.751
Hg5 0.500 0.500 0.249
Hg6 0.500 0.500 0.751

---

Computed, not measured: a relaxed structure of Er4SnHg5 at the GGA-PBE level of DFT.

Its symmetry is P4/mmm (123). For the total magnetic moment, the calculation gives 0.00 μB per atom. The energy of formation comes out at -3.98 eV/f.u.

Lattice parameters (Å, degrees): 3.771 3.771 17.573 90.00 90.00 90.00
Sites, in units of the cell vectors:
Er1 0.000 0.000 0.102
Er2 0.000 0.000 0.308
Er3 0.000 0.000 0.692
Er4 0.000 0.000 0.898
Sn1 0.000 0.000 0.500
Hg1 0.500 0.500 0.000
Hg2 0.500 0.500 0.200
Hg3 0.500 0.500 0.401
Hg4 0.500 0.500 0.599
Hg5 0.500 0.500 0.800